A relaxed structure of Mn3Cl5F, computed with GGA+U.

Structure (POSCAR):
```
Mn3Cl5F
1.0
4.349 -12.104 0.000
4.349 12.104 0.000
0.000 0.000 3.733
Mn Cl F
6 10 2
Cartesian
0.000 0.000 0.000 Mn
4.349 8.540 1.866 Mn
4.349 4.217 0.000 Mn
4.349 0.000 1.866 Mn
4.349 -4.217 0.000 Mn
4.349 -8.540 1.866 Mn
2.609 4.004 1.866 Cl
1.684 0.000 1.866 Cl
4.349 6.741 0.000 Cl
4.349 1.633 0.000 Cl
2.609 -4.004 1.866 Cl
6.088 4.004 1.866 Cl
4.349 -1.633 0.000 Cl
4.349 -6.741 0.000 Cl
7.013 0.000 1.866 Cl
6.088 -4.004 1.866 Cl
4.349 9.785 0.000 F
4.349 -9.785 0.000 F
```

Values from the calculation:
Raw total energy: -5.220 eV/atom